An optimized crystal structure of Cs2BaHg6, computed with PBE.

Results
As for the space group: No. 12. The value obtained for the energy of formation from the pure elements is -0.307 eV/atom. The value obtained for the total energy is -0.911 eV per atom. The calculation puts the magnetic moment at 0.000 μB/atom.

abc: 9.418 9.418 4.563
angles: 90.05 90.05 60.04
Positions (direct):
Cs: 0.167 0.167 0.000
Cs: 0.833 0.833 0.000
Ba: 0.500 0.500 0.000
Hg: 0.170 0.830 0.500
Hg: 0.171 0.500 0.501
Hg: 0.500 0.171 0.501
Hg: 0.500 0.829 0.499
Hg: 0.829 0.500 0.499
Hg: 0.830 0.170 0.500